Run 1
# PBE SnW2N, relaxed
data_SnW2N
_space_group_name_H-M_alt 'I -4 2 d'
_space_group_IT_number 122
_space_group_name_Hall 'I -4 2bw'
_cell_length_a 5.1115
_cell_length_b 5.1115
_cell_length_c 11.6443
_cell_angle_alpha 90.00
_cell_angle_beta 90.00
_cell_angle_gamma 90.00
loop_
_atom_site_label
_atom_site_fract_x
_atom_site_fract_y
_atom_site_fract_z
_atom_site_occupancy
Sn1 0.0000 0.0000 0.0000 1
W1 0.0943 0.2500 0.6250 1
N1 0.0000 0.0000 0.5000 1
# Spin magnetization = 0.0 μB/f.u.
# D(E_F) = 18.8 states/eV/cell

Run 2
# PBE SnW2N, relaxed
data_SnW2N
_space_group_name_H-M_alt 'F m -3 m'
_space_group_IT_number 225
_space_group_name_Hall '-F 4 2 3'
_cell_length_a 6.2403
_cell_length_b 6.2403
_cell_length_c 6.2403
_cell_angle_alpha 90.00
_cell_angle_beta 90.00
_cell_angle_gamma 90.00
loop_
_atom_site_label
_atom_site_fract_x
_atom_site_fract_y
_atom_site_fract_z
_atom_site_occupancy
Sn1 0.0000 0.0000 0.0000 1
W1 0.2500 0.2500 0.2500 1
N1 0.0000 0.0000 0.5000 1
# Spin magnetization = 0.0 μB/f.u.
# D(E_F) = 21.9 states/eV/cell

From most stable to least stable, the computed energies give run 1, run 2.

Run 1
# PBE ZnSn3N, relaxed
data_ZnSn3N
_space_group_name_H-M_alt 'P m -3 m'
_space_group_IT_number 221
_space_group_name_Hall '-P 4 2 3'
_cell_length_a 4.7939
_cell_length_b 4.7939
_cell_length_c 4.7939
_cell_angle_alpha 90.00
_cell_angle_beta 90.00
_cell_angle_gamma 90.00
loop_
_atom_site_label
_atom_site_fract_x
_atom_site_fract_y
_atom_site_fract_z
_atom_site_occupancy
Zn1 0.0000 0.0000 0.0000 1
Sn1 0.0000 0.5000 0.5000 1
N1 0.5000 0.5000 0.5000 1
# Spin magnetization = 0.0 μB/f.u.
# D(E_F) = 6.4 states/eV/cell

Run 2
# PBE ZnSn3N, relaxed
data_ZnSn3N
_space_group_name_H-M_alt 'P m -3 m'
_space_group_IT_number 221
_space_group_name_Hall '-P 4 2 3'
_cell_length_a 5.0944
_cell_length_b 5.0944
_cell_length_c 5.0944
_cell_angle_alpha 90.00
_cell_angle_beta 90.00
_cell_angle_gamma 90.00
loop_
_atom_site_label
_atom_site_fract_x
_atom_site_fract_y
_atom_site_fract_z
_atom_site_occupancy
Zn1 0.0000 0.0000 0.0000 1
Sn1 0.0000 0.0000 0.5000 1
N1 0.5000 0.5000 0.5000 1
# Spin magnetization = 0.0 μB/f.u.
# D(E_F) = 3.3 states/eV/cell

From most stable to least stable, the computed energies give run 1, run 2.

Run 1
# PBE ZrSn3N, relaxed
data_ZrSn3N
_space_group_name_H-M_alt 'P m -3 m'
_space_group_IT_number 221
_space_group_name_Hall '-P 4 2 3'
_cell_length_a 4.6912
_cell_length_b 4.6912
_cell_length_c 4.6912
_cell_angle_alpha 90.00
_cell_angle_beta 90.00
_cell_angle_gamma 90.00
loop_
_atom_site_label
_atom_site_fract_x
_atom_site_fract_y
_atom_site_fract_z
_atom_site_occupancy
Zr1 0.0000 0.0000 0.0000 1
Sn1 0.0000 0.5000 0.5000 1
N1 0.5000 0.5000 0.5000 1
# Spin magnetization = 0.0 μB/f.u.
# D(E_F) = 2.4 states/eV/cell

Run 2
# PBE ZrSn3N, relaxed
data_ZrSn3N
_space_group_name_H-M_alt 'P m -3 m'
_space_group_IT_number 221
_space_group_name_Hall '-P 4 2 3'
_cell_length_a 5.5965
_cell_length_b 5.5965
_cell_length_c 5.5965
_cell_angle_alpha 90.00
_cell_angle_beta 90.00
_cell_angle_gamma 90.00
loop_
_atom_site_label
_atom_site_fract_x
_atom_site_fract_y
_atom_site_fract_z
_atom_site_occupancy
Zr1 0.0000 0.0000 0.0000 1
Sn1 0.0000 0.0000 0.5000 1
N1 0.5000 0.5000 0.5000 1
# Spin magnetization = 3.0 μB/f.u.
# D(E_F) = 2.5 states/eV/cell

From most stable to least stable, the computed energies give run 1, run 2.

Run 1
# PBE Sr4N, relaxed
data_Sr4N
_space_group_name_H-M_alt 'P m -3 m'
_space_group_IT_number 221
_space_group_name_Hall '-P 4 2 3'
_cell_length_a 5.6115
_cell_length_b 5.6115
_cell_length_c 5.6115
_cell_angle_alpha 90.00
_cell_angle_beta 90.00
_cell_angle_gamma 90.00
loop_
_atom_site_label
_atom_site_fract_x
_atom_site_fract_y
_atom_site_fract_z
_atom_site_occupancy
Sr1 0.0000 0.0000 0.0000 1
Sr2 0.0000 0.5000 0.5000 1
N1 0.5000 0.5000 0.5000 1
# Spin magnetization = 0.0 μB/f.u.
# D(E_F) = 5.0 states/eV/cell

Run 2
# PBE Sr4N, relaxed
data_Sr4N
_space_group_name_H-M_alt 'I 41/a m d'
_space_group_IT_number 141
_cell_length_a 9.8788
_cell_length_b 9.8788
_cell_length_c 9.2348
_cell_angle_alpha 90.00
_cell_angle_beta 90.00
_cell_angle_gamma 90.00
loop_
_space_group_symop_operation_xyz
'x,y,z'
'-x,-y,-z'
'-y+1/4,x+3/4,z+1/4'
'y+1/4,-x+3/4,-z+1/4'
'-x+1/2,-y,z+1/2'
'x+1/2,y,-z+1/2'
'y+1/4,-x+1/4,z+3/4'
'-y+1/4,x+1/4,-z+3/4'
'x,-y,-z'
'-x,y,z'
'-y+1/4,-x+1/4,-z+3/4'
'y+1/4,x+1/4,z+3/4'
'-x+1/2,y,-z+1/2'
'x+1/2,-y,z+1/2'
'y+1/4,x+3/4,-z+1/4'
'-y+1/4,-x+3/4,z+1/4'
'x+1/2,y+1/2,z+1/2'
'-x+1/2,-y+1/2,-z+1/2'
'-y+3/4,x+1/4,z+3/4'
'y+3/4,-x+1/4,-z+3/4'
'-x,-y+1/2,z'
'x,y+1/2,-z'
'y+3/4,-x+3/4,z+1/4'
'-y+3/4,x+3/4,-z+1/4'
'x+1/2,-y+1/2,-z+1/2'
'-x+1/2,y+1/2,z+1/2'
'-y+3/4,-x+3/4,-z+1/4'
'y+3/4,x+3/4,z+1/4'
'-x,y+1/2,-z'
'x,-y+1/2,z'
'y+3/4,x+1/4,-z+3/4'
'-y+3/4,-x+1/4,z+3/4'
loop_
_atom_site_label
_atom_site_fract_x
_atom_site_fract_y
_atom_site_fract_z
_atom_site_occupancy
Sr1 0.0000 0.0443 0.2389 1
N1 0.0000 0.2500 0.3750 1
# Spin magnetization = 0.0 μB/f.u.
# D(E_F) = 16.8 states/eV/cell

From most stable to least stable, the computed energies give run 2, run 1.